[1]
{"formula": "SrNbAg", "functional": "GGA-PBE", "state": "optimized geometry", "dos_ef_per_ev_atom": 0.774, "e_form_mev_per_atom": 348.2, "dft_energy_ev_per_atom": -4.52, "space_group": "Pm (6)", "volume_a3_per_atom": 25.32, "e_above_lowest_polymorph_mev_per_atom": 184.9, "lattice_angstrom": [[5.3899, 0.0000, 0.0000], [0.0000, 3.5057, 0.0000], [-2.4174, 0.0000, 8.0389]], "species": ["Sr", "Sr", "Nb", "Nb", "Ag", "Ag"], "fractional_positions": [[0.0000, 0.0000, 0.0000], [0.3597, 0.0000, 0.6848], [0.7016, 0.0000, 0.3440], [0.8105, 0.5000, 0.5746], [0.2102, 0.5000, 0.3516], [0.5217, 0.5000, 0.0567]]}

---

[2]
{"formula": "SrNbAg", "functional": "GGA-PBE", "state": "optimized geometry", "dos_ef_per_ev_atom": 0.407, "e_form_mev_per_atom": 1472.7, "dft_energy_ev_per_atom": -3.39, "space_group": "F-43m (216)", "volume_a3_per_atom": 33.17, "e_above_lowest_polymorph_mev_per_atom": 1309.4, "lattice_angstrom": [[0.0000, 3.6781, 3.6781], [3.6781, 0.0000, 3.6781], [3.6781, 3.6781, 0.0000]], "species": ["Sr", "Nb", "Ag"], "fractional_positions": [[0.0000, 0.0000, 0.0000], [0.7500, 0.7500, 0.7500], [0.2500, 0.2500, 0.2500]]}

---

[3]
{"formula": "SrNbAg", "functional": "GGA-PBE", "state": "optimized geometry", "dos_ef_per_ev_atom": 1.076, "e_form_mev_per_atom": 352.6, "dft_energy_ev_per_atom": -4.52, "space_group": "Cm (8)", "volume_a3_per_atom": 25.63, "e_above_lowest_polymorph_mev_per_atom": 189.2, "lattice_angstrom": [[5.9733, -1.7040, 0.0000], [5.9733, 1.7040, 0.0000], [-3.1719, 0.0000, 7.5540]], "species": ["Sr", "Sr", "Nb", "Nb", "Ag", "Ag"], "fractional_positions": [[0.0000, 0.0000, 0.0000], [0.6799, 0.6799, 0.7424], [0.3696, 0.3696, 0.5522], [0.7169, 0.7169, 0.3513], [0.0089, 0.0089, 0.3939], [0.3061, 0.3061, 0.1365]]}

---

[4]
{"formula": "SrNbAg", "functional": "GGA-PBE", "state": "optimized geometry", "dos_ef_per_ev_atom": 1.329, "e_form_mev_per_atom": 163.3, "dft_energy_ev_per_atom": -4.70, "space_group": "P4mm (99)", "volume_a3_per_atom": 25.34, "e_above_lowest_polymorph_mev_per_atom": 0.0, "lattice_angstrom": [[3.5722, 0.0000, 0.0000], [0.0000, 3.5722, 0.0000], [0.0000, 0.0000, 11.9124]], "species": ["Sr", "Sr", "Nb", "Nb", "Ag", "Ag"], "fractional_positions": [[0.0000, 0.0000, 0.0000], [0.0000, 0.0000, 0.3666], [0.0000, 0.0000, 0.6962], [0.5000, 0.5000, 0.7943], [0.5000, 0.5000, 0.1835], [0.5000, 0.5000, 0.5495]]}

---

[5]
{"formula": "SrNbAg", "functional": "GGA-PBE", "state": "optimized geometry", "dos_ef_per_ev_atom": 2.443, "e_form_mev_per_atom": 2114.6, "dft_energy_ev_per_atom": -2.75, "space_group": "P6_3/mmc (194)", "volume_a3_per_atom": 49.04, "e_above_lowest_polymorph_mev_per_atom": 1951.3, "lattice_angstrom": [[5.1312, 0.0000, 0.0000], [-2.5656, 4.4437, 0.0000], [0.0000, 0.0000, 12.9038]], "species": ["Sr", "Sr", "Nb", "Nb", "Ag", "Ag"], "fractional_positions": [[0.0000, 0.0000, 0.2500], [0.0000, 0.0000, 0.7500], [0.0000, 0.0000, 0.0000], [0.0000, 0.0000, 0.5000], [0.3333, 0.6667, 0.2500], [0.6667, 0.3333, 0.7500]]}

---

[6]
{"formula": "SrTa2NbAg", "functional": "GGA-PBE", "state": "optimized geometry", "dos_ef_per_ev_atom": 1.331, "e_form_mev_per_atom": 1924.7, "dft_energy_ev_per_atom": -5.74, "space_group": "P4/mmm (123)", "volume_a3_per_atom": 26.97, "lattice_angstrom": [[5.0089, 0.0000, 0.0000], [0.0000, 5.0089, 0.0000], [0.0000, 0.0000, 5.3756]], "species": ["Sr", "Ta", "Ta", "Nb", "Ag"], "fractional_positions": [[0.0000, 0.0000, 0.0000], [0.0000, 0.5000, 0.5000], [0.5000, 0.0000, 0.5000], [0.5000, 0.5000, 0.0000], [0.0000, 0.0000, 0.5000]]}

---

[7]
{"formula": "Ta2NbAg", "functional": "GGA-PBE", "state": "optimized geometry", "dos_ef_per_ev_atom": 0.845, "e_form_mev_per_atom": 300.4, "dft_energy_ev_per_atom": -8.86, "space_group": "Fm-3m (225)", "volume_a3_per_atom": 18.06, "e_above_lowest_polymorph_mev_per_atom": 0.0, "lattice_angstrom": [[0.0000, 3.3053, 3.3053], [3.3053, 0.0000, 3.3053], [3.3053, 3.3053, 0.0000]], "species": ["Ta", "Ta", "Nb", "Ag"], "fractional_positions": [[0.2500, 0.2500, 0.2500], [0.7500, 0.7500, 0.7500], [0.0000, 0.0000, 0.0000], [0.5000, 0.5000, 0.5000]]}

---

[8]
{"formula": "TaNb2Ag", "functional": "GGA-PBE", "state": "optimized geometry", "dos_ef_per_ev_atom": 0.257, "e_form_mev_per_atom": 735.4, "dft_energy_ev_per_atom": -7.98, "space_group": "I-42d (122)", "volume_a3_per_atom": 19.46, "e_above_lowest_polymorph_mev_per_atom": 566.6, "lattice_angstrom": [[-1.9749, 1.9749, 9.9809], [1.9749, -1.9749, 9.9809], [1.9749, 1.9749, -9.9809]], "species": ["Ta", "Ta", "Nb", "Nb", "Nb", "Nb", "Ag", "Ag"], "fractional_positions": [[0.0000, 0.0000, 0.0000], [0.7500, 0.2500, 0.5000], [0.1131, 0.6250, 0.9881], [0.3750, 0.3631, 0.4881], [0.6369, 0.1250, 0.0119], [0.8750, 0.8869, 0.5119], [0.2500, 0.7500, 0.5000], [0.5000, 0.5000, 0.0000]]}

---

[9]
{"formula": "TaNb2Ag", "functional": "GGA-PBE", "state": "optimized geometry", "dos_ef_per_ev_atom": 1.030, "e_form_mev_per_atom": 291.5, "dft_energy_ev_per_atom": -8.42, "space_group": "Fm-3m (225)", "volume_a3_per_atom": 18.16, "e_above_lowest_polymorph_mev_per_atom": 122.6, "lattice_angstrom": [[0.0000, 3.3119, 3.3119], [3.3119, 0.0000, 3.3119], [3.3119, 3.3119, 0.0000]], "species": ["Ta", "Nb", "Nb", "Ag"], "fractional_positions": [[0.0000, 0.0000, 0.0000], [0.2500, 0.2500, 0.2500], [0.7500, 0.7500, 0.7500], [0.5000, 0.5000, 0.5000]]}

---

[10]
{"formula": "Ta2NbAg", "functional": "GGA-PBE", "state": "optimized geometry", "dos_ef_per_ev_atom": 0.351, "e_form_mev_per_atom": 753.9, "dft_energy_ev_per_atom": -8.40, "space_group": "I-42d (122)", "volume_a3_per_atom": 19.53, "e_above_lowest_polymorph_mev_per_atom": 453.5, "lattice_angstrom": [[-1.9868, 1.9868, 9.8930], [1.9868, -1.9868, 9.8930], [1.9868, 1.9868, -9.8930]], "species": ["Ta", "Ta", "Ta", "Ta", "Nb", "Nb", "Ag", "Ag"], "fractional_positions": [[0.1161, 0.6250, 0.9911], [0.3750, 0.3661, 0.4911], [0.6339, 0.1250, 0.0089], [0.8750, 0.8839, 0.5089], [0.0000, 0.0000, 0.0000], [0.7500, 0.2500, 0.5000], [0.2500, 0.7500, 0.5000], [0.5000, 0.5000, 0.0000]]}

---

[11]
{"formula": "TaNb2Ag", "functional": "GGA-PBE", "state": "optimized geometry", "dos_ef_per_ev_atom": 0.794, "e_form_mev_per_atom": 168.9, "dft_energy_ev_per_atom": -8.54, "space_group": "P4/mmm (123)", "volume_a3_per_atom": 18.27, "e_above_lowest_polymorph_mev_per_atom": 0.0, "lattice_angstrom": [[3.3912, 0.0000, 0.0000], [0.0000, 3.3912, 0.0000], [0.0000, 0.0000, 6.3552]], "species": ["Ta", "Nb", "Nb", "Ag"], "fractional_positions": [[0.0000, 0.0000, 0.0000], [0.5000, 0.5000, 0.2338], [0.5000, 0.5000, 0.7662], [0.0000, 0.0000, 0.5000]]}

---

[12]
{"formula": "Tb2NbAg", "functional": "GGA-PBE", "state": "optimized geometry", "dos_ef_per_ev_atom": 1.100, "e_form_mev_per_atom": 487.9, "dft_energy_ev_per_atom": -5.06, "space_group": "R-3m (166)", "volume_a3_per_atom": 24.25, "e_above_lowest_polymorph_mev_per_atom": 445.0, "lattice_angstrom": [[1.5827, 0.9138, 11.1793], [-1.5827, 0.9138, 11.1793], [0.0000, -1.8275, 11.1793]], "species": ["Tb", "Tb", "Nb", "Ag"], "fractional_positions": [[0.0885, 0.0885, 0.0885], [0.9115, 0.9115, 0.9115], [0.0000, 0.0000, 0.0000], [0.5000, 0.5000, 0.5000]]}

---

What did the fifth record say?
{"formula": "SrNbAg", "functional": "GGA-PBE", "state": "optimized geometry", "dos_ef_per_ev_atom": 2.443, "e_form_mev_per_atom": 2114.6, "dft_energy_ev_per_atom": -2.75, "space_group": "P6_3/mmc (194)", "volume_a3_per_atom": 49.04, "e_above_lowest_polymorph_mev_per_atom": 1951.3, "lattice_angstrom": [[5.1312, 0.0000, 0.0000], [-2.5656, 4.4437, 0.0000], [0.0000, 0.0000, 12.9038]], "species": ["Sr", "Sr", "Nb", "Nb", "Ag", "Ag"], "fractional_positions": [[0.0000, 0.0000, 0.2500], [0.0000, 0.0000, 0.7500], [0.0000, 0.0000, 0.0000], [0.0000, 0.0000, 0.5000], [0.3333, 0.6667, 0.2500], [0.6667, 0.3333, 0.7500]]}